Entry 1:
# Hg3Mo

Hg3Mo after structural relaxation (GGA-PBE, Alexandria).

Calculated values
* total magnetic moment: 0.0 μB/f.u.
* final energy: -39.278 eV per cell
* DOS(E_F): 1.84 states/eV/f.u.

Cell: 5.0172 9.8014 6.7008 Å, 90.00 90.00 90.00°
Closest atoms and distances in Å follow each position.
Space group Pnma (No. 62)
Asymmetric unit:
Hg: 0.1004 0.2500 0.1027 [4 per cell]  3 Mo 2.94-3.16, 8 Hg 3.05-3.19
Hg: 0.2256 0.0050 0.3737 [8 per cell]  6 Hg 2.83-3.08, 3 Mo 2.97-3.14
Mo: 0.1191 0.2500 0.6639 [4 per cell]  2 Mo 2.76, 6 Hg 2.94-3.05

***

Entry 2:
# HgMo8

HgMo8 after structural relaxation (GGA-PBE, Alexandria).

Calculated values
* total magnetic moment: 0.0 μB/f.u.
* final energy: -166.213 eV per cell
* DOS(E_F): 8.24 states/eV/f.u.

Cell: 8.2333 8.2333 4.3644 Å, 90.00 90.00 90.00°
Closest atoms and distances in Å follow each position.
Space group I4/mmm (No. 139)
Asymmetric unit:
Hg: 0.0000 0.0000 0.0000 [2 per cell]  12 Mo 2.77-2.90
Mo: 0.0000 0.3363 0.0000 [8 per cell]  11 Mo 2.70-2.93, 1 Hg 2.77
Mo: 0.1641 0.1641 0.5000 [8 per cell]  10 Mo 2.70-2.96, 2 Hg 2.90

***

Entry 3:
# Hg3Mo

Hg3Mo after structural relaxation (GGA-PBE, Alexandria).

Calculated values
* total magnetic moment: 1.1 μB/f.u.
* final energy: -37.562 eV per cell
* DOS(E_F): 2.31 states/eV/f.u.

Cell: 6.1024 6.1024 9.9727 Å, 90.00 90.00 120.00°
Closest atoms and distances in Å follow each position.
Space group P6_3/mmc (No. 194)
Asymmetric unit:
Hg: 0.0000 0.5000 0.0000 [6 per cell]  8 Hg 3.05-3.06, 4 Mo 3.05
Hg: 0.1632 0.3264 0.2500 [6 per cell]  8 Hg 2.99-3.12, 4 Mo 3.03-3.05
Mo: 0.0000 0.0000 0.0000 [2 per cell]  12 Hg 3.03-3.05
Mo: 0.3333 0.6667 0.7500 [2 per cell]  12 Hg 3.05

***

Entry 4:
# Hg3Mo

Hg3Mo after structural relaxation (GGA-PBE, Alexandria).

Calculated values
* total magnetic moment: 3.2 μB/f.u.
* final energy: -17.152 eV per cell
* DOS(E_F): 2.70 states/eV/f.u.

Cell: 5.6278 5.6278 5.6278 Å, 90.00 90.00 90.00°
Closest atoms and distances in Å follow each position.
Space group Pm-3n (No. 223)
Asymmetric unit:
Hg: 0.0000 0.2500 0.5000 [6 per cell]  2 Hg 2.81, 4 Mo 3.15
Mo: 0.0000 0.0000 0.0000 [2 per cell]  12 Hg 3.15

***

Number 1: E_form 479.3 meV per atom. Number 2: E_form 427.1 meV per atom. Number 3: E_form 586.5 meV per atom. Number 4: E_form 790.1 meV per atom.